TlCuNiTeSe2 (GGA-PBE, optimized geometry); M_tot = 0.003 μB per formula unit; calculated total energy = -0.2786 Ry/atom
1.0
1.447 6.932 2.989
-4.509 -5.120 -3.540
-3.512 -3.178 9.070
Se Cu Te Ni Tl
4 2 2 2 2
direct
0.892 0.108 0.972 Se
0.108 0.892 0.028 Se
0.892 0.108 0.528 Se
0.108 0.892 0.472 Se
0.944 0.056 0.750 Cu
0.056 0.944 0.250 Cu
0.429 0.571 0.250 Te
0.571 0.429 0.750 Te
0.500 0.500 0.000 Ni
0.500 0.500 0.500 Ni
0.728 0.272 0.250 Tl
0.272 0.728 0.750 Tl

TlCuNiSe3 (GGA-PBE, optimized geometry); M_tot = 0.021 μB per formula unit; calculated total energy = -0.2831 Ry/atom
1.0
11.735 0.000 0.000
0.000 3.716 0.000
0.000 0.000 12.291
Se Ni Tl Cu
12 4 4 4
direct
0.412 0.000 0.143 Se
0.152 0.500 0.225 Se
0.848 0.000 0.775 Se
0.912 0.500 0.357 Se
0.348 0.500 0.725 Se
0.222 0.000 0.982 Se
0.088 0.000 0.643 Se
0.722 0.500 0.518 Se
0.652 0.000 0.275 Se
0.588 0.500 0.857 Se
0.778 0.500 0.018 Se
0.278 0.000 0.482 Se
0.704 0.000 0.916 Ni
0.296 0.500 0.084 Ni
0.796 0.000 0.416 Ni
0.204 0.500 0.584 Ni
0.471 0.500 0.372 Tl
0.529 0.000 0.628 Tl
0.029 0.500 0.872 Tl
0.971 0.000 0.128 Tl
0.766 0.500 0.215 Cu
0.734 0.500 0.715 Cu
0.266 0.000 0.285 Cu
0.234 0.000 0.785 Cu

ZnCuNiSe3 (GGA-PBE, optimized geometry); M_tot = 0.114 μB per formula unit; calculated total energy = -0.2723 Ry/atom
1.0
6.947 0.000 0.000
0.000 3.768 0.000
-2.237 0.000 9.411
Ni Zn Se Cu
2 2 6 2
direct
0.463 0.250 0.082 Ni
0.537 0.750 0.918 Ni
0.697 0.750 0.236 Zn
0.303 0.250 0.764 Zn
0.255 0.750 0.011 Se
0.535 0.250 0.335 Se
0.939 0.250 0.679 Se
0.745 0.250 0.989 Se
0.061 0.750 0.321 Se
0.465 0.750 0.665 Se
0.910 0.250 0.419 Cu
0.090 0.750 0.581 Cu

CuSi5Ni3 (GGA-PBE, optimized geometry); M_tot = 0.002 μB per formula unit; calculated total energy = -0.3899 Ry/atom
1.0
-2.560 -0.034 -3.993
-0.002 -3.791 2.851
-4.870 2.335 3.102
Si Cu Ni
5 1 3
direct
0.000 0.000 0.500 Si
0.667 0.333 0.811 Si
0.333 0.667 0.189 Si
0.667 0.333 0.189 Si
0.333 0.667 0.811 Si
0.000 0.000 0.000 Cu
0.500 0.500 0.500 Ni
0.500 0.000 0.500 Ni
0.000 0.500 0.500 Ni

> Among the records above, which one has the highest M_tot?

ZnCuNiSe3